Crystalline NaCr3Ga at its relaxed geometry, computed with GGA-PBE. Values from VASP.

Structure (Quantum ESPRESSO input):
```
&SYSTEM
  ibrav = 0, nat = 5, ntyp = 3
/
ATOMIC_SPECIES
Cr 52.00 Cr.upf
Ga 69.72 Ga.upf
Na 22.99 Na.upf
ATOMIC_POSITIONS crystal
Cr 0.000 0.500 0.000
Cr 0.000 0.000 0.500
Cr 0.500 0.000 0.000
Ga 0.000 0.000 0.000
Na 0.500 0.500 0.500
CELL_PARAMETERS angstrom
-3.271 1.528 -3.292
-2.314 -4.292 0.307
-2.796 1.765 3.597
```

DOS at the Fermi energy in states/eV/f.u.: 1.6
Formation enthalpy at 0 K in kJ/mol of formula units: 511

***

Crystalline Na3CrGa at its relaxed geometry, computed with GGA-PBE. Values from VASP.

Structure (Quantum ESPRESSO input):
```
&SYSTEM
  ibrav = 0, nat = 5, ntyp = 3
/
ATOMIC_SPECIES
Cr 52.00 Cr.upf
Ga 69.72 Ga.upf
Na 22.99 Na.upf
ATOMIC_POSITIONS crystal
Cr 0.000 0.000 0.000
Ga 0.500 0.500 0.500
Na 0.000 0.500 0.000
Na 0.000 0.000 0.500
Na 0.500 0.000 0.000
CELL_PARAMETERS angstrom
5.681 0.000 0.000
0.000 5.681 0.000
0.000 0.000 5.681
```

DOS at the Fermi energy in states/eV/f.u.: 2.4
Formation enthalpy at 0 K in kJ/mol of formula units: 399